(1)
A PBEsol-optimized structure of NiHg2Ir, computed with SCAN.

Computed properties:
mass density	16.72	g/cm³
spin magnetization	0.00	μB/f.u.
calculated total energy	-4.0682	Ry per atom
energy of formation	2.20	eV per formula unit
energy relative to the lowest polymorph listed for this composition	88.3	meV per atom

a b c (Å): 2.8486 2.8486 9.0122
angles (deg): 90.00 90.00 117.69
Positions (direct):
Ir1 0.5000 0.5000 0.5000
Ni1 0.5000 0.5000 0.0000
Hg1 0.0000 0.0000 0.2368
Hg2 0.0000 0.0000 0.7632

=====

(2)
A PBEsol-optimized structure of NiHg2Ir, computed with SCAN.

Computed properties:
mass density	16.24	g/cm³
spin magnetization	1.01	μB/f.u.
calculated total energy	-4.0733	Ry per atom
energy of formation	1.92	eV per formula unit
energy relative to the lowest polymorph listed for this composition	19.1	meV per atom

a b c (Å): 2.8417 2.8482 9.5043
angles (deg): 90.00 90.00 119.93
Positions (direct):
Ni1 0.5000 0.0000 0.7356
Hg1 0.0000 0.0000 0.9702
Hg2 0.5000 0.0000 0.2666
Ir1 0.0000 0.0000 0.5275

=====

(3)
A PBEsol-optimized structure of NiHg2Ir, computed with SCAN.

Computed properties:
mass density	16.81	g/cm³
spin magnetization	0.00	μB/f.u.
calculated total energy	-4.0700	Ry per atom
energy of formation	2.10	eV per formula unit
energy relative to the lowest polymorph listed for this composition	64.0	meV per atom

a b c (Å): 2.9822 4.7095 4.9647
angles (deg): 102.44 90.00 108.46
Positions (direct):
Ir1 0.5000 0.0000 0.0000
Hg1 0.7435 0.4870 0.7415
Hg2 0.2565 0.5130 0.2585
Ni1 0.0000 0.0000 0.5000

=====

(4)
A PBEsol-optimized structure of NiHg2Ir, computed with SCAN.

Computed properties:
mass density	16.71	g/cm³
spin magnetization	0.00	μB/f.u.
calculated total energy	-4.0747	Ry per atom
energy of formation	1.85	eV per formula unit
energy relative to the lowest polymorph listed for this composition	0.0	meV per atom

a b c (Å): 2.8957 4.6457 5.5412
angles (deg): 114.78 105.15 90.00
Positions (direct):
Hg1 0.9782 0.9782 0.9563
Hg2 0.7597 0.2597 0.5194
Ni1 0.2351 0.7351 0.4703
Ir1 0.5270 0.5270 0.0540

=====

(5)
A PBEsol-optimized structure of ZnNiHg2Ir, computed with SCAN.

Computed properties:
mass density	9.98	g/cm³
spin magnetization	0.00	μB/f.u.
calculated total energy	-3.4206	Ry per atom
energy of formation	4.42	eV per formula unit

a b c (Å): 4.4582 5.1746 5.1746
angles (deg): 90.00 90.00 90.00
Positions (direct):
Hg1 0.0000 0.0000 0.5000
Hg2 0.0000 0.5000 0.0000
Ir1 0.0000 0.0000 0.0000
Zn1 0.5000 0.5000 0.5000
Ni1 0.5000 0.0000 0.0000

=====

(6)
A PBEsol-optimized structure of HgIrO2, computed with SCAN.

Computed properties:
formation energy (no corrections)	-16	kJ/mol of formula units
mass density	11.72	g/cm³
spin magnetization	0.00	μB/f.u.
calculated total energy	-2.7910	Ry per atom

a b c (Å): 5.4351 5.4351 5.4351
angles (deg): 120.09 104.44 104.44
Positions (direct):
O1 0.3678 0.4928 0.6250
O2 0.1322 0.8750 0.5072
O3 0.8678 0.3750 0.7428
O4 0.6322 0.2572 0.1250
Ir1 0.5000 0.2500 0.7500
Ir2 0.0000 0.5000 0.5000
Hg1 0.5000 0.7500 0.2500
Hg2 0.0000 0.0000 0.0000

=====

(7)
A PBEsol-optimized structure of HgP2IrO, computed with SCAN.

Computed properties:
formation energy (no corrections)	153	kJ/mol of formula units
mass density	9.12	g/cm³
spin magnetization	0.00	μB/f.u.
calculated total energy	-2.4211	Ry per atom

a b c (Å): 3.6692 4.8322 4.8322
angles (deg): 90.00 90.00 90.00
Positions (direct):
O1 0.5000 0.0000 0.0000
P1 0.0000 0.5000 0.0000
P2 0.0000 0.0000 0.5000
Ir1 0.0000 0.0000 0.0000
Hg1 0.5000 0.5000 0.5000

=====

(8)
A PBEsol-optimized structure of HgIrOs2, computed with SCAN.

Computed properties:
mass density	21.10	g/cm³
spin magnetization	0.00	μB/f.u.
calculated total energy	-5.1606	Ry per atom
energy of formation	2.17	eV per formula unit

a b c (Å): 2.7645 2.7645 9.3310
angles (deg): 81.48 81.48 60.00
Positions (direct):
Hg1 0.5000 0.5000 0.5000
Os1 0.2557 0.2557 0.2329
Os2 0.7443 0.7443 0.7671
Ir1 0.0000 0.0000 0.0000